Here is a geometry-optimized TbCeTm structure from Alexandria via LeMat-Bulk. Energies are from PBE.

Unit cell a=3.509 b=3.509 c=7.832 alpha=102.94 beta=102.94 gamma=90.00
Each line ends with the local moment (μB).
Fractional positions:
Tm: 0.670 0.670 0.340  0.01
Tb: 0.998 0.998 0.995  0.00
Ce: 0.333 0.333 0.665  0.55

Output
The calculated volume comes out at 30.49 A^3/atom. The energy above the most stable polymorph in this dataset comes out at 1.0 kJ/mol of atoms. The space group is I4mm. The size of the total moment is 0.7 μB/cell. The value obtained for the energy of formation from the pure elements is 0.2 eV/f.u.


Here is a geometry-optimized CaPm5Pr8 structure from Alexandria via LeMat-Bulk. Energies are from PBE.

Unit cell a=8.765 b=8.765 c=8.765 alpha=110.92 beta=106.61 gamma=110.92
Fractional positions:
Ca: 0.250 0.500 0.750
Pm: 0.035 0.315 0.134
Pm: 0.866 0.901 0.180
Pm: 0.820 0.685 0.720
Pm: 0.500 0.000 0.500
Pm: 0.280 0.099 0.965
Pr: 0.167 0.737 0.079
Pr: 0.921 0.088 0.658
Pr: 0.725 0.252 0.327
Pr: 0.673 0.397 0.925
Pr: 0.528 0.603 0.275
Pr: 0.570 0.912 0.833
Pr: 0.342 0.263 0.430
Pr: 0.075 0.748 0.472

Output
The calculated volume comes out at 36.96 A^3/atom. The space group is I-4. The size of the total moment is 0.0 μB/cell. The value obtained for the energy of formation from the pure elements is 3.1 eV/f.u.


Here is a geometry-optimized PrY2Mg2In2 structure from Alexandria via LeMat-Bulk. Energies are from PBE.

Unit cell a=5.016 b=5.016 c=9.429 alpha=74.57 beta=74.57 gamma=60.00
Fractional positions:
Pr: 0.000 0.000 0.000
Y: 0.130 0.130 0.609
Y: 0.870 0.870 0.391
Mg: 0.595 0.595 0.214
Mg: 0.405 0.405 0.786
In: 0.740 0.740 0.779
In: 0.260 0.260 0.221

Output
The calculated volume comes out at 27.94 A^3/atom. The space group is R-3m. The size of the total moment is 0.0 μB/cell. The value obtained for the energy of formation from the pure elements is -1.8 eV/f.u.


Here is a geometry-optimized TbEuIr2 structure from Alexandria via LeMat-Bulk. Energies are from PBE.

Unit cell a=4.908 b=4.908 c=4.908 alpha=60.00 beta=60.00 gamma=60.00
Each line ends with the local moment (μB).
Fractional positions:
Eu: 0.500 0.500 0.500  6.61
Ir: 0.250 0.250 0.250  -0.09
Ir: 0.750 0.750 0.750  -0.09
Tb: 0.000 0.000 0.000  0.03

Output
The calculated volume comes out at 20.90 A^3/atom. The energy above the most stable polymorph in this dataset comes out at 3.5 kJ/mol of atoms. The space group is Fm-3m. The size of the total moment is 6.6 μB/cell. The value obtained for the energy of formation from the pure elements is -1.8 eV/f.u.